[1]
DFT (GGA-PBE) results for crystalline PmSm6DyTm2 at its relaxed geometry.

Cell: 8.8637 8.8637 9.5626 Å, 93.49 93.49 117.07°
With the nearest neighbours (Å) after each atom.
Fractional positions:
Pm: 0.0303 0.9697 0.7500  4 Tm 3.41-3.48, 6 Sm 3.57-3.77
Pm: 0.9697 0.0303 0.2500  4 Tm 3.41-3.48, 6 Sm 3.57-3.77
Sm: 0.0100 0.5598 0.6835  3 Sm 3.24-3.62, 1 Tm 3.45, 1 Dy 3.46, 1 Pm 3.57
Sm: 0.1150 0.7591 0.0554  7 Sm 3.44-3.77, 1 Tm 3.51, 2 Pm 3.67-3.77
Sm: 0.2409 0.8850 0.4446  7 Sm 3.44-3.77, 1 Tm 3.51, 2 Pm 3.67-3.77
Sm: 0.2936 0.5151 0.8825  4 Sm 3.24-3.59, 3 Tm 3.30-3.46, 2 Dy 3.44-3.54
Sm: 0.4402 0.9900 0.8165  3 Sm 3.24-3.62, 1 Tm 3.45, 1 Dy 3.46, 1 Pm 3.57
Sm: 0.4849 0.7064 0.6175  4 Sm 3.24-3.59, 3 Tm 3.30-3.46, 2 Dy 3.44-3.54
Sm: 0.5151 0.2936 0.3825  4 Sm 3.24-3.59, 3 Tm 3.30-3.46, 2 Dy 3.44-3.54
Sm: 0.5598 0.0100 0.1835  3 Sm 3.24-3.62, 1 Tm 3.45, 1 Dy 3.46, 1 Pm 3.57
Sm: 0.7064 0.4849 0.1175  4 Sm 3.24-3.59, 3 Tm 3.30-3.46, 2 Dy 3.44-3.54
Sm: 0.7591 0.1150 0.5554  7 Sm 3.44-3.77, 1 Tm 3.51, 2 Pm 3.67-3.77
Sm: 0.8850 0.2409 0.9446  7 Sm 3.44-3.77, 1 Tm 3.51, 2 Pm 3.67-3.77
Sm: 0.9900 0.4402 0.3165  3 Sm 3.24-3.62, 1 Tm 3.45, 1 Dy 3.46, 1 Pm 3.57
Dy: 0.4103 0.5897 0.2500  6 Sm 3.44-3.54, 2 Tm 3.52
Dy: 0.5897 0.4103 0.7500  6 Sm 3.44-3.54, 2 Tm 3.52
Tm: 0.2022 0.3008 0.5486  6 Sm 3.30-3.65, 2 Pm 3.41-3.48, 1 Dy 3.52
Tm: 0.3008 0.2022 0.0486  6 Sm 3.30-3.65, 2 Pm 3.41-3.48, 1 Dy 3.52
Tm: 0.6992 0.7978 0.9514  6 Sm 3.30-3.65, 2 Pm 3.41-3.48, 1 Dy 3.52
Tm: 0.7978 0.6992 0.4514  6 Sm 3.30-3.65, 2 Pm 3.41-3.48, 1 Dy 3.52

***

[2]
DFT (GGA-PBE) results for crystalline PmSmDyTm3 at its relaxed geometry.

Cell: 6.3338 6.3338 11.6534 Å, 90.00 90.00 125.28°
With the nearest neighbours (Å) after each atom.
Fractional positions:
Pm: 0.0051 0.9949 0.7500  7 Tm 3.45-3.78, 3 Dy 3.54-3.60
Pm: 0.9949 0.0051 0.2500  7 Tm 3.45-3.78, 3 Dy 3.54-3.60
Sm: 0.5000 0.5000 0.0000  8 Tm 3.48-3.69, 2 Dy 3.51
Sm: 0.5000 0.5000 0.5000  8 Tm 3.48-3.69, 2 Dy 3.51
Dy: 0.3254 0.6746 0.7500  4 Tm 3.40-3.43, 2 Sm 3.51, 3 Pm 3.54-3.60
Dy: 0.6746 0.3254 0.2500  4 Tm 3.40-3.43, 2 Sm 3.51, 3 Pm 3.54-3.60
Tm: 0.1718 0.8282 0.0043  3 Tm 3.38-3.40, 1 Dy 3.43, 2 Pm 3.49-3.51, 3 Sm 3.49-3.69
Tm: 0.1718 0.8282 0.4957  3 Tm 3.38-3.40, 1 Dy 3.43, 2 Pm 3.49-3.51, 3 Sm 3.49-3.69
Tm: 0.3309 0.6691 0.2500  2 Tm 3.38, 2 Dy 3.40, 3 Pm 3.45-3.78, 2 Sm 3.48
Tm: 0.6691 0.3309 0.7500  2 Tm 3.38, 2 Dy 3.40, 3 Pm 3.45-3.78, 2 Sm 3.48
Tm: 0.8282 0.1718 0.5043  3 Tm 3.38-3.40, 1 Dy 3.43, 2 Pm 3.49-3.51, 3 Sm 3.49-3.69
Tm: 0.8282 0.1718 0.9957  3 Tm 3.38-3.40, 1 Dy 3.43, 2 Pm 3.49-3.51, 3 Sm 3.49-3.69

***

[3]
DFT (GGA-PBE) results for crystalline Pm2Sm4Dy2Tm at its relaxed geometry.

Cell: 8.0554 8.0554 8.0317 Å, 107.54 107.54 36.84°
With the nearest neighbours (Å) after each atom.
Fractional positions:
Pm: 0.1115 0.1115 0.1692  3 Dy 3.58-3.59, 1 Tm 3.58, 7 Sm 3.60-3.62, 1 Pm 3.62
Pm: 0.8885 0.8885 0.8308  3 Dy 3.58-3.59, 1 Tm 3.58, 7 Sm 3.60-3.62, 1 Pm 3.62
Sm: 0.2217 0.2217 0.8312  1 Tm 3.58, 3 Dy 3.58-3.59, 5 Sm 3.60-3.62, 3 Pm 3.60-3.62
Sm: 0.4446 0.4446 0.1687  2 Dy 3.58, 2 Tm 3.58, 4 Sm 3.60-3.62, 4 Pm 3.60-3.62
Sm: 0.5554 0.5554 0.8313  2 Dy 3.58, 2 Tm 3.58, 4 Sm 3.60-3.62, 4 Pm 3.60-3.62
Sm: 0.7783 0.7783 0.1688  1 Tm 3.58, 3 Dy 3.58-3.59, 5 Sm 3.60-3.62, 3 Pm 3.60-3.62
Dy: 0.3338 0.3338 0.4999  5 Sm 3.58-3.59, 3 Pm 3.58-3.59, 2 Tm 3.60, 2 Dy 3.61
Dy: 0.6662 0.6662 0.5001  5 Sm 3.58-3.59, 3 Pm 3.58-3.59, 2 Tm 3.60, 2 Dy 3.61
Tm: 0.0000 0.0000 0.5000  6 Sm 3.58, 2 Pm 3.58, 4 Dy 3.60

***

[4]
DFT (GGA-PBE) results for crystalline Pm2SmDy2Tm2 at its relaxed geometry.

Cell: 8.9902 8.9902 8.4462 Å, 116.44 116.44 22.41°
With the nearest neighbours (Å) after each atom.
Fractional positions:
Pm: 0.1483 0.1483 0.3868  3 Tm 3.48-3.60, 4 Pm 3.49-3.65, 2 Dy 3.52-3.65, 2 Sm 3.62
Pm: 0.8517 0.8517 0.6132  3 Tm 3.48-3.60, 4 Pm 3.49-3.65, 2 Dy 3.52-3.65, 2 Sm 3.62
Sm: 0.5000 0.5000 0.5000  2 Tm 3.43, 2 Sm 3.49, 4 Dy 3.53, 4 Pm 3.62
Dy: 0.0706 0.0706 0.9061  3 Tm 3.47-3.50, 3 Dy 3.49-3.51, 2 Pm 3.52-3.65, 2 Sm 3.53
Dy: 0.9294 0.9294 0.0939  3 Tm 3.47-3.50, 3 Dy 3.49-3.51, 2 Pm 3.52-3.65, 2 Sm 3.53
Tm: 0.2883 0.2883 0.1997  1 Sm 3.43, 3 Dy 3.47-3.50, 4 Tm 3.48-3.49, 3 Pm 3.48-3.60
Tm: 0.7117 0.7117 0.8003  1 Sm 3.43, 3 Dy 3.47-3.50, 4 Tm 3.48-3.49, 3 Pm 3.48-3.60

***

[5]
DFT (GGA-PBE) results for crystalline Pm5SmDy2Tm at its relaxed geometry.

Cell: 10.5416 10.5416 10.7075 Å, 90.00 90.00 148.98°
With the nearest neighbours (Å) after each atom.
Fractional positions:
Pm: 0.0163 0.9837 0.5000  2 Tm 3.26, 3 Dy 3.47-3.58
Pm: 0.2810 0.7190 0.7880  1 Tm 3.08, 1 Dy 3.36, 2 Pm 3.43
Pm: 0.2977 0.7023 0.1841  3 Pm 3.43-3.74, 1 Tm 3.46, 3 Sm 3.51-3.81, 3 Dy 3.53-3.82
Pm: 0.3898 0.6102 0.5028  6 Pm 3.52-3.89, 4 Dy 3.60-3.63, 1 Sm 3.85
Pm: 0.4809 0.5191 0.2220  2 Tm 3.22-3.35, 2 Dy 3.52, 2 Pm 3.52-3.53
Pm: 0.5191 0.4809 0.7220  2 Tm 3.22-3.35, 2 Dy 3.52, 2 Pm 3.52-3.53
Pm: 0.6102 0.3898 0.0028  6 Pm 3.52-3.89, 4 Dy 3.60-3.63, 1 Sm 3.85
Pm: 0.7023 0.2977 0.6841  3 Pm 3.43-3.74, 1 Tm 3.46, 3 Sm 3.51-3.81, 3 Dy 3.53-3.82
Pm: 0.7190 0.2810 0.2880  1 Tm 3.08, 1 Dy 3.36, 2 Pm 3.43
Pm: 0.9837 0.0163 0.0000  2 Tm 3.26, 3 Dy 3.47-3.58
Sm: 0.2005 0.7995 0.4888  2 Dy 3.43-3.70, 7 Pm 3.51-3.81, 2 Tm 3.64
Sm: 0.7995 0.2005 0.9888  2 Dy 3.43-3.70, 7 Pm 3.51-3.81, 2 Tm 3.64
Dy: 0.1106 0.8894 0.2171  1 Sm 3.43, 7 Pm 3.47-3.82, 2 Tm 3.71
Dy: 0.1155 0.8845 0.7939  9 Pm 3.36-3.74, 1 Sm 3.70
Dy: 0.8845 0.1155 0.2939  9 Pm 3.36-3.74, 1 Sm 3.70
Dy: 0.8894 0.1106 0.7171  1 Sm 3.43, 7 Pm 3.47-3.82, 2 Tm 3.71
Tm: 0.4096 0.5904 0.9399  5 Pm 3.08-3.35
Tm: 0.5904 0.4096 0.4399  5 Pm 3.08-3.35

***

[6]
DFT (GGA-PBE) results for crystalline PmSm3Dy6Tm2 at its relaxed geometry.

Cell: 6.1683 6.1683 11.8049 Å, 94.97 94.97 119.96°
With the nearest neighbours (Å) after each atom.
Fractional positions:
Pm: 0.0000 0.0000 0.0000  6 Dy 3.54, 6 Tm 3.56
Sm: 0.1669 0.8331 0.5000  6 Sm 3.56-3.57, 6 Dy 3.58-3.59
Sm: 0.5000 0.5000 0.5000  6 Sm 3.56, 6 Dy 3.58
Sm: 0.8331 0.1669 0.5000  6 Sm 3.56-3.57, 6 Dy 3.58-3.59
Dy: 0.0824 0.4166 0.2478  2 Tm 3.54, 1 Pm 3.54, 6 Dy 3.56-3.57, 3 Sm 3.58
Dy: 0.2517 0.2517 0.7524  2 Tm 3.54, 1 Pm 3.54, 6 Dy 3.56-3.57, 3 Sm 3.58-3.59
Dy: 0.4166 0.0824 0.2478  2 Tm 3.54, 1 Pm 3.54, 6 Dy 3.56-3.57, 3 Sm 3.58
Dy: 0.5834 0.9176 0.7522  2 Tm 3.54, 1 Pm 3.54, 6 Dy 3.56-3.57, 3 Sm 3.58
Dy: 0.7483 0.7483 0.2476  2 Tm 3.54, 1 Pm 3.54, 6 Dy 3.56-3.57, 3 Sm 3.58-3.59
Dy: 0.9176 0.5834 0.7522  2 Tm 3.54, 1 Pm 3.54, 6 Dy 3.56-3.57, 3 Sm 3.58
Tm: 0.3332 0.6668 0.0000  6 Dy 3.54, 3 Pm 3.56, 3 Tm 3.56
Tm: 0.6668 0.3332 0.0000  6 Dy 3.54, 3 Pm 3.56, 3 Tm 3.56

***

[7]
DFT (GGA-PBE) results for crystalline Pm6Sm2DyTm3 at its relaxed geometry.

Cell: 6.2425 6.2425 11.8418 Å, 95.02 95.02 120.00°
With the nearest neighbours (Å) after each atom.
Fractional positions:
Pm: 0.0845 0.4174 0.7531  3 Tm 3.55, 6 Pm 3.60-3.61, 1 Dy 3.61, 2 Sm 3.61
Pm: 0.2483 0.2483 0.2466  3 Tm 3.55, 6 Pm 3.60-3.61, 1 Dy 3.61, 2 Sm 3.61
Pm: 0.4174 0.0845 0.7531  3 Tm 3.55, 6 Pm 3.60-3.61, 1 Dy 3.61, 2 Sm 3.61
Pm: 0.5826 0.9155 0.2469  3 Tm 3.55, 6 Pm 3.60-3.61, 1 Dy 3.61, 2 Sm 3.61
Pm: 0.7517 0.7517 0.7534  3 Tm 3.55, 6 Pm 3.60-3.61, 1 Dy 3.61, 2 Sm 3.61
Pm: 0.9155 0.5826 0.2469  3 Tm 3.55, 6 Pm 3.60-3.61, 1 Dy 3.61, 2 Sm 3.61
Sm: 0.3333 0.6667 0.5000  3 Dy 3.60, 3 Sm 3.60, 6 Pm 3.61
Sm: 0.6667 0.3333 0.5000  3 Dy 3.60, 3 Sm 3.60, 6 Pm 3.61
Dy: 0.0000 0.0000 0.5000  6 Sm 3.60, 6 Pm 3.61
Tm: 0.1666 0.8334 0.0000  6 Pm 3.55, 6 Tm 3.60
Tm: 0.5000 0.5000 0.0000  6 Pm 3.55, 6 Tm 3.60
Tm: 0.8334 0.1666 0.0000  6 Pm 3.55, 6 Tm 3.60

***

[8]
DFT (GGA-PBE) results for crystalline Pm2SmDy2Y4 at its relaxed geometry.

Cell: 9.5678 9.5678 9.6171 Å, 115.23 115.23 21.81°
With the nearest neighbours (Å) after each atom.
Fractional positions:
Pm: 0.1664 0.1664 0.4984  3 Dy 3.57-3.59, 3 Y 3.57-3.59, 4 Pm 3.61-3.62, 2 Sm 3.62
Pm: 0.8336 0.8336 0.5016  3 Dy 3.57-3.59, 3 Y 3.57-3.59, 4 Pm 3.61-3.62, 2 Sm 3.62
Sm: 0.5000 0.5000 0.5000  6 Y 3.58, 4 Pm 3.62, 2 Sm 3.62
Dy: 0.3521 0.3521 0.8355  7 Y 3.53-3.62, 3 Pm 3.57-3.59, 2 Dy 3.62
Dy: 0.6479 0.6479 0.1645  7 Y 3.53-3.62, 3 Pm 3.57-3.59, 2 Dy 3.62
Y: 0.0193 0.0193 0.8361  5 Y 3.53-3.62, 4 Dy 3.53-3.62, 1 Pm 3.57, 2 Sm 3.58
Y: 0.3140 0.3140 0.1650  6 Y 3.54-3.62, 3 Dy 3.54-3.61, 1 Sm 3.58, 2 Pm 3.59
Y: 0.6860 0.6860 0.8350  6 Y 3.54-3.62, 3 Dy 3.54-3.61, 1 Sm 3.58, 2 Pm 3.59
Y: 0.9807 0.9807 0.1639  5 Y 3.53-3.62, 4 Dy 3.53-3.62, 1 Pm 3.57, 2 Sm 3.58

***

[9]
DFT (GGA-PBE) results for crystalline PmSm2Dy4Y2 at its relaxed geometry.

Cell: 9.5448 9.5448 9.5960 Å, 115.23 115.23 21.81°
With the nearest neighbours (Å) after each atom.
Fractional positions:
Pm: 0.0000 0.0000 0.0000  6 Dy 3.57, 4 Sm 3.61, 2 Pm 3.61
Sm: 0.3331 0.3331 0.9985  3 Dy 3.57-3.58, 3 Y 3.57-3.58, 2 Pm 3.61, 4 Sm 3.61
Sm: 0.6669 0.6669 0.0015  3 Dy 3.57-3.58, 3 Y 3.57-3.58, 2 Pm 3.61, 4 Sm 3.61
Dy: 0.1857 0.1857 0.3361  6 Dy 3.52-3.61, 3 Y 3.52-3.62, 2 Sm 3.57, 1 Pm 3.57
Dy: 0.4809 0.4809 0.6649  4 Y 3.53-3.60, 5 Dy 3.54-3.61, 2 Pm 3.57, 1 Sm 3.58
Dy: 0.5191 0.5191 0.3351  4 Y 3.53-3.60, 5 Dy 3.54-3.61, 2 Pm 3.57, 1 Sm 3.58
Dy: 0.8143 0.8143 0.6639  6 Dy 3.52-3.61, 3 Y 3.52-3.62, 2 Sm 3.57, 1 Pm 3.57
Y: 0.1472 0.1472 0.6645  7 Dy 3.52-3.62, 3 Sm 3.57-3.58, 2 Y 3.61
Y: 0.8528 0.8528 0.3355  7 Dy 3.52-3.62, 3 Sm 3.57-3.58, 2 Y 3.61

***

[10]
DFT (GGA-PBE) results for crystalline PmSm3Dy2Y6 at its relaxed geometry.

Cell: 6.2154 6.2154 11.8549 Å, 94.99 94.99 119.97°
With the nearest neighbours (Å) after each atom.
Fractional positions:
Pm: 0.0000 0.0000 0.0000  6 Y 3.57, 6 Dy 3.59
Sm: 0.1669 0.8331 0.5000  6 Sm 3.58-3.59, 6 Y 3.59
Sm: 0.5000 0.5000 0.5000  6 Sm 3.58-3.59, 6 Y 3.59
Sm: 0.8331 0.1669 0.5000  6 Sm 3.58-3.59, 6 Y 3.59
Dy: 0.3334 0.6666 0.0000  6 Y 3.57, 3 Dy 3.59, 3 Pm 3.59
Dy: 0.6666 0.3334 0.0000  6 Y 3.57, 3 Dy 3.59, 3 Pm 3.59
Y: 0.0832 0.4169 0.2488  2 Dy 3.57, 1 Pm 3.57, 6 Y 3.59, 3 Sm 3.59
Y: 0.2506 0.2506 0.7511  1 Pm 3.57, 2 Dy 3.57, 6 Y 3.59, 3 Sm 3.59
Y: 0.4169 0.0832 0.2488  2 Dy 3.57, 1 Pm 3.57, 6 Y 3.59, 3 Sm 3.59
Y: 0.5831 0.9168 0.7512  2 Dy 3.57, 1 Pm 3.57, 6 Y 3.59, 3 Sm 3.59
Y: 0.7494 0.7494 0.2489  1 Pm 3.57, 2 Dy 3.57, 6 Y 3.59, 3 Sm 3.59
Y: 0.9168 0.5831 0.7512  2 Dy 3.57, 1 Pm 3.57, 6 Y 3.59, 3 Sm 3.59

***

no.,ΔH_f (0 K) (meV per atom)
1,118
2,118
3,19
4,147
5,144
6,17
7,16
8,-5
9,-4
10,16